Record 1
VASP calculation (PBE-GGA) on crystalline Re5Ru at its relaxed geometry.

Properties
Total DFT energy (no corrections): -11.87 eV/atom
Formation energy from the elements: 49.7 meV/atom
Energy above the lowest structure with this stoichiometry: 87 meV per atom
Calculated volume: 177.8 Å³/cell

Cell lengths 3.891, 11.730, 3.896 Å; angles 90.00, 90.00, 90.00 degrees
Fractional coordinates of all 12 atoms:
Re (0.000, 0.000, 0.000)
Re (0.000, 0.165, 0.500)
Re (0.000, 0.335, 0.000)
Re (0.000, 0.665, 0.000)
Re (0.000, 0.835, 0.500)
Re (0.500, 0.165, 0.000)
Re (0.500, 0.335, 0.500)
Re (0.500, 0.500, 0.000)
Re (0.500, 0.665, 0.500)
Re (0.500, 0.835, 0.000)
Ru (0.000, 0.500, 0.500)
Ru (0.500, 0.000, 0.500)



Record 2
VASP calculation (PBE-GGA) on crystalline Sm2Y3ScTe6 at its relaxed geometry.

Properties
Total DFT energy (no corrections): -5.80 eV/atom
Formation energy without anion corrections: -1294 meV per atom
Calculated volume: 352.3 Å³/cell

Cell lengths 9.753, 9.753, 8.750 Å; angles 102.50, 102.50, 25.72 degrees
Fractional coordinates of all 12 atoms:
Sm (0.170, 0.170, 0.335)
Sm (0.830, 0.830, 0.665)
Y (0.175, 0.175, 0.837)
Y (0.500, 0.500, 0.500)
Y (0.825, 0.825, 0.163)
Sc (0.500, 0.500, 0.000)
Te (0.004, 0.004, 0.762)
Te (0.337, 0.337, 0.413)
Te (0.341, 0.341, 0.926)
Te (0.659, 0.659, 0.074)
Te (0.663, 0.663, 0.587)
Te (0.996, 0.996, 0.238)



Record 3
VASP calculation (PBE-GGA) on crystalline CaNiRu at its relaxed geometry.

Properties
Total DFT energy (no corrections): -5.61 eV/atom
Formation energy from the elements: 72.8 meV/atom
Energy above the lowest structure with this stoichiometry: 134 meV per atom
Calculated volume: 231.3 Å³/cell

Cell lengths 11.091, 3.999, 5.658 Å; angles 90.00, 112.84, 90.00 degrees
Fractional coordinates of all 12 atoms:
Ca (0.118, 0.000, 0.291)
Ca (0.382, 0.500, 0.709)
Ca (0.618, 0.500, 0.291)
Ca (0.882, 0.000, 0.709)
Ni (0.213, 0.000, 0.869)
Ni (0.287, 0.500, 0.131)
Ni (0.713, 0.500, 0.869)
Ni (0.787, 0.000, 0.131)
Ru (0.094, 0.500, 0.694)
Ru (0.406, 0.000, 0.306)
Ru (0.594, 0.000, 0.694)
Ru (0.906, 0.500, 0.306)



Record 4
VASP calculation (PBE-GGA) on crystalline CrRu2Au at its relaxed geometry.

Properties
Total DFT energy (no corrections): -7.53 eV/atom
Formation energy from the elements: 329.3 meV/atom
Energy above the lowest structure with this stoichiometry: 131 meV per atom
Calculated volume: 114.3 Å³/cell

Cell lengths 3.879, 3.879, 7.600 Å; angles 90.00, 90.00, 90.00 degrees
Fractional coordinates of all 8 atoms:
Cr (0.000, 0.000, 0.000)
Cr (0.500, 0.500, 0.500)
Ru (0.000, 0.500, 0.250)
Ru (0.000, 0.500, 0.750)
Ru (0.500, 0.000, 0.250)
Ru (0.500, 0.000, 0.750)
Au (0.000, 0.000, 0.500)
Au (0.500, 0.500, 0.000)



Record 5
VASP calculation (PBE-GGA) on crystalline Cs2CeTcO6 at its relaxed geometry.

Properties
Total DFT energy (no corrections): -6.74 eV/atom
Formation energy without anion corrections: -1967 meV per atom
Calculated volume: 226.9 Å³/cell

Cell lengths 6.693, 6.693, 5.851 Å; angles 90.00, 90.00, 120.00 degrees
Fractional coordinates of all 10 atoms:
Cs (0.333, 0.667, 0.364)
Cs (0.667, 0.333, 0.636)
Ce (0.000, 0.000, 0.000)
Tc (0.000, 0.000, 0.500)
O (0.130, 0.261, 0.711)
O (0.130, 0.870, 0.711)
O (0.261, 0.130, 0.289)
O (0.739, 0.870, 0.711)
O (0.870, 0.130, 0.289)
O (0.870, 0.739, 0.289)



Record 6
VASP calculation (PBE-GGA) on crystalline TbTmMnHg at its relaxed geometry.

Properties
Total DFT energy (no corrections): -4.73 eV/atom
Formation energy from the elements: -82.0 meV/atom
Calculated volume: 379.7 Å³/cell

Cell lengths 7.241, 7.241, 7.241 Å; angles 90.00, 90.00, 90.00 degrees
Fractional coordinates of all 16 atoms:
Tb (0.000, 0.000, 0.000)
Tb (0.000, 0.500, 0.500)
Tb (0.500, 0.000, 0.500)
Tb (0.500, 0.500, 0.000)
Tm (0.000, 0.000, 0.500)
Tm (0.000, 0.500, 0.000)
Tm (0.500, 0.000, 0.000)
Tm (0.500, 0.500, 0.500)
Mn (0.250, 0.250, 0.750)
Mn (0.250, 0.750, 0.250)
Mn (0.750, 0.250, 0.250)
Mn (0.750, 0.750, 0.750)
Hg (0.250, 0.250, 0.250)
Hg (0.250, 0.750, 0.750)
Hg (0.750, 0.250, 0.750)
Hg (0.750, 0.750, 0.250)



Record 7
VASP calculation (PBE-GGA) on crystalline In2SiHg at its relaxed geometry.

Properties
Total DFT energy (no corrections): -2.51 eV/atom
Formation energy without anion corrections: 292 meV per atom
Calculated volume: 381.0 Å³/cell

Cell lengths 7.249, 7.249, 7.249 Å; angles 90.00, 90.00, 90.00 degrees
Fractional coordinates of all 16 atoms:
In (0.250, 0.250, 0.250)
In (0.250, 0.250, 0.750)
In (0.250, 0.750, 0.250)
In (0.250, 0.750, 0.750)
In (0.750, 0.250, 0.250)
In (0.750, 0.250, 0.750)
In (0.750, 0.750, 0.250)
In (0.750, 0.750, 0.750)
Si (0.000, 0.000, 0.000)
Si (0.000, 0.500, 0.500)
Si (0.500, 0.000, 0.500)
Si (0.500, 0.500, 0.000)
Hg (0.000, 0.000, 0.500)
Hg (0.000, 0.500, 0.000)
Hg (0.500, 0.000, 0.000)
Hg (0.500, 0.500, 0.500)



Record 8
VASP calculation (PBE-GGA) on crystalline MgZr2HgO at its relaxed geometry.

Properties
Total DFT energy (no corrections): -5.82 eV/atom
Formation energy without anion corrections: -1027 meV per atom
Calculated volume: 88.4 Å³/cell

Cell lengths 4.482, 4.482, 4.401 Å; angles 90.00, 90.00, 90.00 degrees
Fractional coordinates of all 5 atoms:
Mg (0.000, 0.000, 0.000)
Zr (0.000, 0.500, 0.500)
Zr (0.500, 0.000, 0.500)
Hg (0.500, 0.500, 0.000)
O (0.000, 0.000, 0.500)



Repeat the sixth record exactly.
VASP calculation (PBE-GGA) on crystalline TbTmMnHg at its relaxed geometry.

Properties
Total DFT energy (no corrections): -4.73 eV/atom
Formation energy from the elements: -82.0 meV/atom
Calculated volume: 379.7 Å³/cell

Cell lengths 7.241, 7.241, 7.241 Å; angles 90.00, 90.00, 90.00 degrees
Fractional coordinates of all 16 atoms:
Tb (0.000, 0.000, 0.000)
Tb (0.000, 0.500, 0.500)
Tb (0.500, 0.000, 0.500)
Tb (0.500, 0.500, 0.000)
Tm (0.000, 0.000, 0.500)
Tm (0.000, 0.500, 0.000)
Tm (0.500, 0.000, 0.000)
Tm (0.500, 0.500, 0.500)
Mn (0.250, 0.250, 0.750)
Mn (0.250, 0.750, 0.250)
Mn (0.750, 0.250, 0.250)
Mn (0.750, 0.750, 0.750)
Hg (0.250, 0.250, 0.250)
Hg (0.250, 0.750, 0.750)
Hg (0.750, 0.250, 0.750)
Hg (0.750, 0.750, 0.250)



- Which value of total DFT energy (no corrections) does entry 8 give?
  -5.82 eV/atom